First-principles (PBE) data for a relaxed BaY2HfO crystal, as listed in Alexandria via LeMat-Bulk.

Cell and atoms, written as CIF:
```
data_BaY2HfO
_symmetry_space_group_name_H-M 'P 4/m m m'
_symmetry_Int_Tables_number 123
_symmetry_space_group_name_Hall '-P 4 2'
_cell_length_a 5.726
_cell_length_b 5.726
_cell_length_c 5.228
_cell_angle_alpha 90.00
_cell_angle_beta 90.00
_cell_angle_gamma 90.00
loop_
_atom_site_label
_atom_site_fract_x
_atom_site_fract_y
_atom_site_fract_z
Ba1 0.000 0.000 0.000
Y1 0.000 0.500 0.000
Hf1 0.000 0.000 0.500
O1 0.500 0.500 0.500
```

E   -20.7 eV per cell
N(E_F)   5.9 states/eV/cell
Calculated volume   171.4 Å³ per cell